Record 1
Computed, not measured: crystalline CdTcAg at its relaxed geometry at the GGA-PBE level of DFT.

crystal system: trigonal
E_form: 0.38 eV per atom
E above lowest polymorph: 312 meV/atom
DFT total energy: -4.33 eV per atom
Fermi-level density of states: 0.928 states/eV/atom

Cell lengths 2.8493, 2.8493, 21.9893 Å; angles 90.00, 90.00, 120.00 degrees
Last column: nearest neighbours and their distance in Å.
Element x y z (fractional)
Ag: 0.6667 0.3333 0.8759  6 Ag 2.85, 3 Tc 2.88, 3 Cd 3.02
Cd: 0.3333 0.6667 0.7610  6 Cd 2.85, 3 Tc 2.94, 3 Ag 3.02
Cd: 0.6667 0.3333 0.4277  6 Cd 2.85, 3 Tc 2.94, 3 Ag 3.02
Tc: 0.6667 0.3333 0.6503  6 Tc 2.85, 3 Ag 2.88, 3 Cd 2.94
Ag: 0.3333 0.6667 0.2093  6 Ag 2.85, 3 Tc 2.88, 3 Cd 3.02
Tc: 0.3333 0.6667 0.9836  6 Tc 2.85, 3 Ag 2.88, 3 Cd 2.94
Tc: 0.0000 0.0000 0.3169  6 Tc 2.85, 3 Ag 2.88, 3 Cd 2.94
Cd: 0.0000 0.0000 0.0943  6 Cd 2.85, 3 Tc 2.94, 3 Ag 3.02
Ag: 0.0000 0.0000 0.5426  6 Ag 2.85, 3 Tc 2.88, 3 Cd 3.02

---

Record 2
Computed, not measured: crystalline CdTcAg at its relaxed geometry at the GGA-PBE level of DFT.

crystal system: trigonal
E_form: 0.38 eV per atom
E above lowest polymorph: 313 meV/atom
DFT total energy: -4.33 eV per atom
Fermi-level density of states: 0.829 states/eV/atom

Cell lengths 2.8492, 2.8492, 7.3262 Å; angles 90.00, 90.00, 120.00 degrees
Last column: nearest neighbours and their distance in Å.
Element x y z (fractional)
Ag: 0.3333 0.6667 0.5917  6 Ag 2.85, 3 Tc 2.88, 3 Cd 3.02
Cd: 0.0000 0.0000 0.2463  6 Cd 2.85, 3 Tc 2.94, 3 Ag 3.02
Tc: 0.6667 0.3333 0.9142  6 Tc 2.85, 3 Ag 2.88, 3 Cd 2.94

---

Record 3
Computed, not measured: crystalline CdTcAg at its relaxed geometry at the GGA-PBE level of DFT.

crystal system: orthorhombic
E_form: 0.56 eV per atom
E above lowest polymorph: 492 meV/atom
DFT total energy: -4.15 eV per atom
Fermi-level density of states: 0.754 states/eV/atom

Cell lengths 5.2053, 5.2053, 5.2053 Å; angles 149.77, 131.63, 58.11 degrees
Last column: nearest neighbours and their distance in Å.
Element x y z (fractional)
Tc: 0.6650 0.6650 0.0000  2 Tc 2.71, 4 Ag 2.93, 5 Cd 2.95-3.03
Cd: 0.3322 0.3322 0.0000  2 Cd 2.71, 5 Tc 2.95-3.03, 5 Ag 2.97-3.00
Ag: 0.0027 0.0027 0.0000  2 Ag 2.71, 4 Tc 2.93, 5 Cd 2.97-3.00